# 1
A plane-wave DFT calculation with PBE-GGA was carried out for crystalline PmSm6Ho2Tm at its relaxed geometry.

* ΔE_f: 0.118 eV per atom

Cell: 9.217 15.190 9.576 Å, 90.00 96.86 90.00°
Space group C2/c (No. 15)
One atom of each set of equivalent atoms:
Pm 0.000 0.027 0.250
Sm 0.061 0.181 0.945
Sm 0.098 0.390 0.118
Sm 0.213 0.223 0.314
Ho 0.247 0.450 0.453
Tm 0.000 0.411 0.750

---

# 2
A plane-wave DFT calculation with PBE-GGA was carried out for crystalline BP2Au at its relaxed geometry.

* ΔE_f: 0.121 eV per atom

Cell: 8.232 3.233 6.287 Å, 90.00 126.43 90.00°
Space group Cm (No. 8)
One atom of each set of equivalent atoms:
B 0.000 0.000 0.000
P 0.146 0.500 0.046
P 0.210 0.500 0.743
Au 0.016 0.000 0.389

---

# 3
A plane-wave DFT calculation with PBE-GGA was carried out for crystalline Nd5SmBi5 at its relaxed geometry.

* ΔE_f: -0.762 eV per atom

Cell: 14.378 6.457 9.106 Å, 90.00 108.54 90.00°
Space group C2/m (No. 12)
One atom of each set of equivalent atoms:
Nd 0.000 0.000 0.000
Nd 0.164 0.500 0.330
Nd 0.168 0.500 0.834
Sm 0.000 0.000 0.500
Bi 0.000 0.500 0.500
Bi 0.166 0.000 0.833
Bi 0.168 0.000 0.334